[1]
A relaxed KSmP2S7 crystal, computed with PBE-GGA.

Cell: 12.607 9.085 9.861 Å, 89.89 90.00 90.00°
Positions (direct):
S: 0.453 0.921 0.754
S: 0.828 0.574 0.912
S: 0.311 0.648 0.850
S: 0.811 0.852 0.150
S: 0.472 0.433 0.330
S: 0.557 0.677 0.987
S: 0.689 0.352 0.150
S: 0.943 0.177 0.987
S: 0.059 0.290 0.362
S: 0.559 0.210 0.638
S: 0.028 0.933 0.330
S: 0.941 0.710 0.638
S: 0.789 0.389 0.634
S: 0.528 0.567 0.670
S: 0.057 0.823 0.013
S: 0.953 0.579 0.246
S: 0.172 0.426 0.088
S: 0.547 0.079 0.246
S: 0.711 0.889 0.634
S: 0.972 0.067 0.670
S: 0.328 0.926 0.088
S: 0.672 0.074 0.912
S: 0.441 0.790 0.362
S: 0.047 0.421 0.754
S: 0.189 0.148 0.850
S: 0.289 0.111 0.366
S: 0.443 0.323 0.013
S: 0.211 0.611 0.366
K: 0.690 0.632 0.396
K: 0.810 0.132 0.396
K: 0.190 0.868 0.604
K: 0.310 0.368 0.604
P: 0.606 0.022 0.729
P: 0.533 0.303 0.183
P: 0.033 0.197 0.817
P: 0.106 0.478 0.271
P: 0.967 0.803 0.183
P: 0.394 0.978 0.271
P: 0.467 0.697 0.817
P: 0.894 0.522 0.729
Sm: 0.142 0.107 0.139
Sm: 0.642 0.393 0.861
Sm: 0.358 0.607 0.139
Sm: 0.858 0.893 0.861

Properties
The energy relative to the elements, uncorrected comes out at -0.9076 eV/atom. The space-group type is P2_1/c (14).

[2]
A relaxed KSnP2S crystal, computed with PBE-GGA.

Cell: 5.243 5.243 5.347 Å, 90.00 90.00 90.00°
Site moments in Bohr magnetons follow the coordinates.
Positions (direct):
S: 0.000 0.000 0.500  0.20
K: 0.000 0.000 0.000  0.03
P: 0.000 0.500 0.000  0.20
P: 0.500 0.000 0.000  0.20
Sn: 0.500 0.500 0.500  -0.01

Properties
The energy relative to the elements, uncorrected comes out at 1.4555 eV/atom. The space-group type is P4/mmm (123).

[3]
A relaxed KSnPS4 crystal, computed with PBE-GGA.

Cell: 12.378 7.032 11.185 Å, 53.46 90.00 90.00°
Positions (direct):
S: 0.746 0.696 0.342
S: 0.237 0.841 0.649
S: 0.417 0.268 0.432
S: 0.737 0.159 0.851
S: 0.263 0.841 0.149
S: 0.043 0.900 0.304
S: 0.246 0.304 0.158
S: 0.583 0.732 0.568
S: 0.754 0.696 0.842
S: 0.763 0.159 0.351
S: 0.254 0.304 0.658
S: 0.457 0.900 0.804
S: 0.083 0.268 0.932
S: 0.957 0.100 0.696
S: 0.917 0.732 0.068
S: 0.543 0.100 0.196
Sn: 0.871 0.070 0.112
Sn: 0.371 0.930 0.388
Sn: 0.129 0.930 0.888
Sn: 0.629 0.070 0.612
K: 0.890 0.631 0.623
K: 0.610 0.631 0.123
K: 0.390 0.369 0.877
K: 0.110 0.369 0.377
P: 0.340 0.074 0.638
P: 0.660 0.926 0.362
P: 0.160 0.074 0.138
P: 0.840 0.926 0.862

Properties
The energy relative to the elements, uncorrected comes out at -0.6388 eV/atom. The space-group type is P2_1/c (14).

[4]
A relaxed KSnP2S crystal, computed with PBE-GGA.

Cell: 5.190 5.190 5.274 Å, 90.00 90.00 90.00°
Site moments in Bohr magnetons follow the coordinates.
Positions (direct):
S: 0.000 0.000 0.500  0.20
Sn: 0.000 0.000 0.000  -0.01
P: 0.000 0.500 0.000  0.43
P: 0.500 0.000 0.000  0.43
K: 0.500 0.500 0.500  0.01

Properties
The energy relative to the elements, uncorrected comes out at 0.3571 eV/atom. The space-group type is P4/mmm (123).

[5]
A relaxed KSnPS4 crystal, computed with PBE-GGA.

Cell: 6.641 6.643 8.878 Å, 90.00 107.87 90.00°
Positions (direct):
S: 0.985 0.497 0.735
S: 0.405 0.750 0.172
S: 0.985 0.003 0.735
S: 0.384 0.750 0.548
S: 0.015 0.503 0.265
S: 0.595 0.250 0.828
S: 0.616 0.250 0.452
S: 0.015 0.997 0.265
K: 0.725 0.750 0.936
K: 0.275 0.250 0.064
P: 0.208 0.750 0.311
P: 0.792 0.250 0.689
Sn: 0.756 0.750 0.464
Sn: 0.244 0.250 0.536

Properties
The energy relative to the elements, uncorrected comes out at -0.6249 eV/atom. The space-group type is P2_1/m (11).

[6]
A relaxed K2SnP2S6 crystal, computed with PBE-GGA.

Cell: 6.970 6.983 8.092 Å, 117.11 90.00 119.94°
Positions (direct):
K: 0.284 0.569 0.779
K: 0.716 0.431 0.221
S: 0.775 0.550 0.664
S: 0.301 0.114 0.817
S: 0.225 0.450 0.336
S: 0.186 0.886 0.183
S: 0.814 0.114 0.817
S: 0.699 0.886 0.183
P: 0.972 0.945 0.838
P: 0.028 0.055 0.162
Sn: 0.500 0.000 0.500

Properties
The energy relative to the elements, uncorrected comes out at -0.6253 eV/atom. The space-group type is C2/m (12).

[7]
A relaxed KSrP2S crystal, computed with PBE-GGA.

Cell: 5.253 5.253 5.432 Å, 90.00 90.00 90.00°
Positions (direct):
K: 0.000 0.000 0.000
P: 0.500 0.000 0.000
P: 0.000 0.500 0.000
Sr: 0.500 0.500 0.500
S: 0.000 0.000 0.500

Properties
The energy relative to the elements, uncorrected comes out at 0.6516 eV/atom. The space-group type is P4/mmm (123).

[8]
A relaxed K2SrP2S6 crystal, computed with PBE-GGA.

Cell: 6.992 6.992 8.572 Å, 65.93 65.93 60.00°
Positions (direct):
S: 0.247 0.735 0.284
S: 0.735 0.735 0.284
S: 0.735 0.247 0.284
S: 0.753 0.265 0.716
S: 0.265 0.753 0.716
S: 0.265 0.265 0.716
P: 0.551 0.551 0.347
P: 0.449 0.449 0.653
Sr: 0.000 0.000 0.000
K: 0.786 0.786 0.641
K: 0.214 0.214 0.359

Properties
The energy relative to the elements, uncorrected comes out at -0.9472 eV/atom. The space-group type is R-3m (166).

[9]
A relaxed KSrPS2 crystal, computed with PBE-GGA.

Cell: 5.704 5.704 5.986 Å, 90.00 90.00 90.00°
Site moments in Bohr magnetons follow the coordinates.
Positions (direct):
S: 0.000 0.500 0.000  0.51
S: 0.500 0.000 0.000  0.51
K: 0.500 0.500 0.500  0.00
Sr: 0.000 0.000 0.000  0.03
P: 0.000 0.000 0.500  0.93

Properties
The energy relative to the elements, uncorrected comes out at -0.0922 eV/atom. The space-group type is P4/mmm (123).

[10]
A relaxed KSrPS2 crystal, computed with PBE-GGA.

Cell: 5.420 5.420 5.150 Å, 90.00 90.00 90.00°
Site moments in Bohr magnetons follow the coordinates.
Positions (direct):
S: 0.500 0.000 0.000  0.06
S: 0.000 0.500 0.000  0.06
K: 0.000 0.000 0.000  0.01
P: 0.000 0.000 0.500  -0.01
Sr: 0.500 0.500 0.500  0.00

Properties
The energy relative to the elements, uncorrected comes out at 0.3211 eV/atom. The space-group type is P4/mmm (123).

[11]
A relaxed KSrP2S crystal, computed with PBE-GGA.

Cell: 5.713 5.713 5.635 Å, 90.00 90.00 90.00°
Site moments in Bohr magnetons follow the coordinates.
Positions (direct):
P: 0.500 0.000 0.000  0.35
P: 0.000 0.500 0.000  0.35
Sr: 0.000 0.000 0.000  0.01
S: 0.000 0.000 0.500  0.12
K: 0.500 0.500 0.500  0.00

Properties
The energy relative to the elements, uncorrected comes out at 0.3176 eV/atom. The space-group type is P4/mmm (123).

[12]
A relaxed K2SrPS4 crystal, computed with PBE-GGA.

Cell: 6.843 6.843 6.843 Å, 102.31 113.17 113.17°
Positions (direct):
K: 0.000 0.000 0.000
K: 0.500 0.750 0.250
S: 0.654 0.452 0.471
S: 0.981 0.529 0.182
S: 0.346 0.818 0.798
S: 0.019 0.202 0.548
Sr: 0.500 0.250 0.750
P: 0.000 0.500 0.500

Properties
The energy relative to the elements, uncorrected comes out at -0.9450 eV/atom. The space-group type is I-4 (82).

[13]
A relaxed KTaP2S crystal, computed with PBE-GGA.

Cell: 4.904 4.904 4.885 Å, 90.00 90.00 90.00°
Site moments in Bohr magnetons follow the coordinates.
Positions (direct):
Ta: 0.000 0.000 0.000  -0.02
S: 0.000 0.000 0.500  0.02
P: 0.000 0.500 0.000  0.08
P: 0.500 0.000 0.000  0.08
K: 0.500 0.500 0.500  0.00

Properties
The energy relative to the elements, uncorrected comes out at -0.3256 eV/atom. The space-group type is P4/mmm (123).

[14]
A relaxed KTaPS2 crystal, computed with PBE-GGA.

Cell: 4.984 4.984 4.880 Å, 90.00 90.00 90.00°
Positions (direct):
S: 0.500 0.000 0.000
S: 0.000 0.500 0.000
Ta: 0.500 0.500 0.500
P: 0.000 0.000 0.500
K: 0.000 0.000 0.000

Properties
The energy relative to the elements, uncorrected comes out at 2.0572 eV/atom. The space-group type is P4/mmm (123).

[15]
A relaxed KTaP2S crystal, computed with PBE-GGA.

Cell: 4.825 4.825 4.979 Å, 90.00 90.00 90.00°
Positions (direct):
K: 0.000 0.000 0.000
P: 0.000 0.500 0.000
P: 0.500 0.000 0.000
S: 0.000 0.000 0.500
Ta: 0.500 0.500 0.500

Properties
The energy relative to the elements, uncorrected comes out at 2.2338 eV/atom. The space-group type is P4/mmm (123).

[16]
A relaxed KTaPS2 crystal, computed with PBE-GGA.

Cell: 4.866 4.866 4.912 Å, 90.00 90.00 90.00°
Positions (direct):
S: 0.000 0.500 0.000
S: 0.500 0.000 0.000
P: 0.000 0.000 0.500
K: 0.500 0.500 0.500
Ta: 0.000 0.000 0.000

Properties
The energy relative to the elements, uncorrected comes out at -0.6323 eV/atom. The space-group type is P4/mmm (123).

[17]
A relaxed KTc2PS crystal, computed with PBE-GGA.

Cell: 5.188 5.046 5.188 Å, 90.00 90.00 90.00°
Site moments in Bohr magnetons follow the coordinates.
Positions (direct):
P: 0.500 0.500 0.500  -0.40
S: 0.000 0.500 0.000  0.02
K: 0.000 0.000 0.000  0.08
Tc: 0.000 0.000 0.500  3.10
Tc: 0.500 0.000 0.000  3.43

Properties
The energy relative to the elements, uncorrected comes out at 2.8033 eV/atom. The space-group type is P4/mmm (123).

[18]
A relaxed KTcPS2 crystal, computed with PBE-GGA.

Cell: 5.291 5.291 5.108 Å, 90.00 90.00 90.00°
Site moments in Bohr magnetons follow the coordinates.
Positions (direct):
K: 0.000 0.000 0.000  0.01
P: 0.000 0.000 0.500  -0.24
S: 0.500 0.000 0.000  -0.10
S: 0.000 0.500 0.000  -0.10
Tc: 0.500 0.500 0.500  3.97

Properties
The energy relative to the elements, uncorrected comes out at 2.0099 eV/atom. The space-group type is P4/mmm (123).

[19]
A relaxed KTcPS2 crystal, computed with PBE-GGA.

Cell: 4.850 4.850 4.598 Å, 90.00 90.00 90.00°
Site moments in Bohr magnetons follow the coordinates.
Positions (direct):
P: 0.000 0.000 0.500  -0.01
S: 0.500 0.000 0.000  0.02
S: 0.000 0.500 0.000  0.02
Tc: 0.000 0.000 0.000  0.18
K: 0.500 0.500 0.500  0.00

Properties
The energy relative to the elements, uncorrected comes out at -0.1217 eV/atom. The space-group type is P4/mmm (123).

[20]
A relaxed KTeP2S crystal, computed with PBE-GGA.

Cell: 5.166 5.166 5.318 Å, 90.00 90.00 90.00°
Site moments in Bohr magnetons follow the coordinates.
Positions (direct):
P: 0.000 0.500 0.000  0.10
P: 0.500 0.000 0.000  0.10
Te: 0.000 0.000 0.000  -0.01
S: 0.000 0.000 0.500  0.05
K: 0.500 0.500 0.500  0.00

Properties
The energy relative to the elements, uncorrected comes out at 0.4875 eV/atom. The space-group type is P4/mmm (123).

[21]
A relaxed KTeP2S crystal, computed with PBE-GGA.

Cell: 5.346 5.346 5.198 Å, 90.00 90.00 90.00°
Site moments in Bohr magnetons follow the coordinates.
Positions (direct):
Te: 0.500 0.500 0.500  0.00
P: 0.000 0.500 0.000  0.08
P: 0.500 0.000 0.000  0.08
K: 0.000 0.000 0.000  0.01
S: 0.000 0.000 0.500  0.16

Properties
The energy relative to the elements, uncorrected comes out at 1.7497 eV/atom. The space-group type is P4/mmm (123).

[22]
A relaxed KTeP2S8 crystal, computed with PBE-GGA.

Cell: 6.042 6.042 10.463 Å, 73.22 73.22 60.00°
Positions (direct):
P: 0.742 0.742 0.774
P: 0.258 0.258 0.226
S: 0.596 0.299 0.167
S: 0.191 0.191 0.428
S: 0.701 0.062 0.833
S: 0.062 0.404 0.833
S: 0.809 0.809 0.572
S: 0.404 0.701 0.833
S: 0.938 0.596 0.167
S: 0.299 0.938 0.167
K: 0.500 0.500 0.500
Te: 0.000 0.000 0.000

Properties
The energy relative to the elements, uncorrected comes out at -0.1903 eV/atom. The space-group type is R-3 (148).

[23]
A relaxed KTiPS6 crystal, computed with PBE-GGA.

Cell: 5.890 5.890 7.605 Å, 90.01 89.99 59.95°
Positions (direct):
K: 0.000 0.000 0.000
S: 0.354 0.626 0.322
S: 0.020 0.354 0.322
S: 0.626 0.019 0.322
S: 0.626 0.354 0.678
S: 0.019 0.626 0.678
S: 0.354 0.020 0.678
P: 0.333 0.333 0.500
Ti: 0.666 0.667 0.500

Properties
The energy relative to the elements, uncorrected comes out at -0.4424 eV/atom. The space-group type is P312 (149).